1.
Crystalline DyMoC2 at its relaxed geometry. Source: Alexandria, functional PBE.

Computed properties:
Calculated formation energy ... -255 meV per atom
Magnetization ... 0.00 μB per atom
Fermi-level density of states ... 6.84 states/eV/cell
Final energy ... -139.60 eV per cell
Polymorph energy (0 for the lowest one) ... 0 meV per atom

Structure (CIF):
```
data_DyMoC2
_chemical_formula_sum 'Dy4 Mo4 C8'
_symmetry_space_group_name_H-M 'P n m a'
_symmetry_Int_Tables_number 62
_symmetry_space_group_name_Hall '-P 2ac 2n'
_cell_length_a 5.707
_cell_length_b 3.398
_cell_length_c 10.797
_cell_angle_alpha 90.00
_cell_angle_beta 90.00
_cell_angle_gamma 90.00
loop_
_atom_site_label
_atom_site_type_symbol
_atom_site_fract_x
_atom_site_fract_y
_atom_site_fract_z
_atom_site_occupancy
Dy1 Dy 0.086 0.250 0.137 1
Mo1 Mo 0.097 0.750 0.391 1
C1 C 0.159 0.250 0.753 1
C2 C 0.224 0.250 0.484 1
```

2.
Crystalline AlCu4Si at its relaxed geometry. Source: Alexandria, functional PBE.

Computed properties:
Magnetization ... 0.00 μB per atom
Fermi-level density of states ... 7.91 states/eV/cell
Final energy ... -100.74 eV per cell
Polymorph energy (0 for the lowest one) ... 150 meV per atom

Structure (CIF):
```
data_AlCu4Si
_chemical_formula_sum 'Al4 Cu16 Si4'
_symmetry_space_group_name_H-M 'F -4 3 m'
_symmetry_Int_Tables_number 216
_symmetry_space_group_name_Hall 'F -4 2 3'
_cell_length_a 6.813
_cell_length_b 6.813
_cell_length_c 6.813
_cell_angle_alpha 90.00
_cell_angle_beta 90.00
_cell_angle_gamma 90.00
loop_
_atom_site_label
_atom_site_type_symbol
_atom_site_fract_x
_atom_site_fract_y
_atom_site_fract_z
_atom_site_occupancy
Al1 Al 0.000 0.000 0.000 1
Cu1 Cu 0.125 0.125 0.625 1
Si1 Si 0.250 0.250 0.250 1
```

3.
Crystalline ZrMnPb2 at its relaxed geometry. Source: Alexandria, functional PBE.

Computed properties:
Calculated formation energy ... 144 meV per atom
Magnetization ... 0.80 μB per atom
Fermi-level density of states ... 3.16 states/eV/cell
Final energy ... -24.56 eV per cell
Polymorph energy (0 for the lowest one) ... 6 meV per atom

Structure (CIF):
```
data_ZrMnPb2
_chemical_formula_sum 'Zr1 Mn1 Pb2'
_symmetry_space_group_name_H-M 'P 4 m m'
_symmetry_Int_Tables_number 99
_symmetry_space_group_name_Hall 'P 4 -2'
_cell_length_a 3.269
_cell_length_b 3.269
_cell_length_c 9.231
_cell_angle_alpha 90.00
_cell_angle_beta 90.00
_cell_angle_gamma 90.00
loop_
_atom_site_label
_atom_site_type_symbol
_atom_site_fract_x
_atom_site_fract_y
_atom_site_fract_z
_atom_site_occupancy
Zr1 Zr 0.000 0.000 0.000 1
Mn1 Mn 0.500 0.500 0.186 1
Pb1 Pb 0.000 0.000 0.401 1
Pb2 Pb 0.500 0.500 0.741 1
```

4.
Crystalline Cd2Pb3 at its relaxed geometry. Source: Alexandria, functional PBE.

Computed properties:
Calculated formation energy ... 81 meV per atom
Magnetization ... 0.00 μB per atom
Fermi-level density of states ... 3.02 states/eV/cell
Final energy ... -12.55 eV per cell
Polymorph energy (0 for the lowest one) ... 40 meV per atom

Structure (CIF):
```
data_Cd2Pb3
_chemical_formula_sum 'Cd2 Pb3'
_symmetry_space_group_name_H-M 'P -3 m 1'
_symmetry_Int_Tables_number 164
_symmetry_space_group_name_Hall '-P 3 2"'
_cell_length_a 5.1498
_cell_length_b 5.1498
_cell_length_c 6.6935
_cell_angle_alpha 90.00
_cell_angle_beta 90.00
_cell_angle_gamma 120.00
loop_
_atom_site_label
_atom_site_type_symbol
_atom_site_fract_x
_atom_site_fract_y
_atom_site_fract_z
_atom_site_occupancy
Cd1 Cd 0.3333 0.6667 0.3165 1
Pb1 Pb 0.0000 0.0000 0.5000 1
Pb2 Pb 0.3333 0.6667 0.8392 1
```